Entry 1:
# AlTcS2

AlTcS2 after structural relaxation (GGA-PBEsol, the Alexandria database).

DFT total energy: -6.339 eV/atom
total moment: 0.00 μB per atom

abc: 6.335 6.335 6.335
angles: 130.32 130.32 72.90
Sites, in units of the cell vectors:
Al  0.000  0.000  0.000
Al  0.750  0.250  0.500
Tc  0.250  0.750  0.500
Tc  0.500  0.500  0.000
S  0.124  0.625  0.999
S  0.375  0.374  0.499
S  0.626  0.125  0.001
S  0.875  0.876  0.501

Entry 2:
# AlTeS2

AlTeS2 after structural relaxation (GGA-PBEsol, the Alexandria database).

excess energy over the best structure of this formula in the dataset: 0.421 eV per atom
total moment: 0.00 μB per atom

abc: 5.974 5.974 5.974
angles: 108.37 108.37 111.69
Sites, in units of the cell vectors:
Al  0.000  0.000  0.000
Al  0.750  0.250  0.500
Te  0.250  0.750  0.500
Te  0.500  0.500  0.000
S  0.055  0.625  0.930
S  0.375  0.305  0.430
S  0.695  0.125  0.070
S  0.875  0.945  0.570